(1)
Hg3Ru, optimized geometry, DFT PBE-GGA; N(E_F) = 0.61 states/eV/atom; energy relative to the lowest polymorph listed for this composition = 61 meV/atom; space group = Pm-3m; E_form = 0.436 eV per atom
1.0
4.260 0.000 0.000
0.000 4.260 0.000
0.000 0.000 4.260
Hg Ru
3 1
Direct
0.000 0.000 0.500 Hg
0.000 0.500 0.000 Hg
0.500 0.000 0.000 Hg
0.500 0.500 0.500 Ru


(2)
Hg3Ru, optimized geometry, DFT PBE-GGA; N(E_F) = 0.82 states/eV/atom; energy relative to the lowest polymorph listed for this composition = 96 meV/atom; space group = Cmmm; E_form = 0.471 eV per atom
1.0
2.928 -4.061 0.000
2.928 4.061 0.000
0.000 0.000 3.332
Hg Ru
3 1
Direct
0.000 0.000 0.000 Hg
0.000 0.500 0.500 Hg
0.500 0.000 0.500 Hg
0.500 0.500 0.000 Ru


(3)
Hg3Ru, optimized geometry, DFT PBE-GGA; N(E_F) = 1.24 states/eV/atom; energy relative to the lowest polymorph listed for this composition = 210 meV/atom; space group = Pm-3m; E_form = 0.585 eV per atom
1.0
5.313 0.000 0.000
0.000 5.313 0.000
0.000 0.000 5.313
Hg Ru
3 1
Direct
0.000 0.000 0.500 Hg
0.000 0.500 0.000 Hg
0.500 0.000 0.000 Hg
0.000 0.000 0.000 Ru


| no. | electronic total energy (eV/atom) |
| --- | --- |
| 1 | -2.1092 |
| 2 | -2.0746 |
| 3 | -1.9603 |